K2TeIr: relaxed, GGA-PBE.

Total moment = 0.0 Bohr magnetons per cell
Formation energy from raw total energies = 0.78 kcal/mol of atoms
Total DFT energy (no corrections) = -3.516 eV/atom

a = 3.722 Å, b = 3.722 Å, c = 10.058 Å
α = 90.00°, β = 90.00°, γ = 90.00°
Space group P4mm (No. 99)
Unique sites:
K 0.000 0.000 0.000 x1
K 0.500 0.500 0.412 x1
Te 0.000 0.000 0.670 x1
Ir 0.500 0.500 0.739 x1

KTe2Ir: relaxed, GGA-PBE.

Total moment = 0.0 Bohr magnetons per cell
Formation energy from raw total energies = 7.51 kcal/mol of atoms
Total DFT energy (no corrections) = -3.735 eV/atom

a = 7.672 Å, b = 7.689 Å, c = 3.229 Å
α = 90.00°, β = 90.00°, γ = 90.00°
Space group Cmmm (No. 65)
Unique sites:
K 0.000 0.000 0.000 x2
Te 0.250 0.250 0.500 x4
Ir 0.000 0.500 0.000 x2

KTe2Ir: relaxed, GGA-PBE.

Total moment = 0.0 Bohr magnetons per cell
Formation energy from raw total energies = -11.90 kcal/mol of atoms
Total DFT energy (no corrections) = -4.577 eV/atom

a = 4.1514 Å, b = 4.1514 Å, c = 23.1310 Å
α = 90.00°, β = 90.00°, γ = 120.00°
Space group R-3m (No. 166, hexagonal axes)
Unique sites:
K 0.0000 0.0000 0.0000 x3
Te 0.0000 0.0000 0.2217 x6
Ir 0.0000 0.0000 0.5000 x3

K2TeIr: relaxed, GGA-PBE.

Total moment = 1.5 Bohr magnetons per cell
Formation energy from raw total energies = 7.86 kcal/mol of atoms
Total DFT energy (no corrections) = -3.208 eV/atom

a = 7.407 Å, b = 7.407 Å, c = 7.407 Å
α = 90.00°, β = 90.00°, γ = 90.00°
Space group F-43m (No. 216)
Unique sites:
K 0.000 0.000 0.000 x4
K 0.250 0.250 0.250 x4
Te 0.000 0.000 0.500 x4
Ir 0.250 0.250 0.750 x4

K2TeIr: relaxed, GGA-PBE.

Total moment = 0.0 Bohr magnetons per cell
Formation energy from raw total energies = -2.34 kcal/mol of atoms
Total DFT energy (no corrections) = -3.651 eV/atom

a = 4.639 Å, b = 5.828 Å, c = 9.924 Å
α = 90.00°, β = 90.00°, γ = 90.00°
Space group Imm2 (No. 44)
Unique sites:
K 0.000 0.000 0.000 x2
K 0.000 0.500 0.190 x2
Te 0.000 0.000 0.402 x2
Ir 0.000 0.500 0.806 x2

KTeIr: relaxed, GGA-PBE.

Total moment = 0.0 Bohr magnetons per cell
Formation energy from raw total energies = 31.70 kcal/mol of atoms
Total DFT energy (no corrections) = -2.992 eV/atom

a = 6.980 Å, b = 6.980 Å, c = 6.980 Å
α = 90.00°, β = 90.00°, γ = 90.00°
Space group F-43m (No. 216)
Unique sites:
K 0.000 0.000 0.000 x4
Te 0.250 0.250 0.250 x4
Ir 0.250 0.250 0.750 x4

KTe2Ir: relaxed, GGA-PBE.

Total moment = 0.0 Bohr magnetons per cell
Formation energy from raw total energies = -7.80 kcal/mol of atoms
Total DFT energy (no corrections) = -4.399 eV/atom

a = 8.250 Å, b = 8.250 Å, c = 7.520 Å
α = 90.00°, β = 90.00°, γ = 90.00°
Space group I-42d (No. 122)
Unique sites:
K 0.000 0.000 0.000 x4
Te 0.146 0.250 0.625 x8
Ir 0.000 0.000 0.500 x4

K2TeIr: relaxed, GGA-PBE.

Total moment = 0.8 Bohr magnetons per cell
Formation energy from raw total energies = 7.94 kcal/mol of atoms
Total DFT energy (no corrections) = -3.205 eV/atom

a = 3.204 Å, b = 3.204 Å, c = 10.516 Å
α = 90.00°, β = 90.00°, γ = 90.00°
Space group P4/mmm (No. 123)
Unique sites:
K 0.000 0.000 0.227 x2
Te 0.500 0.500 0.500 x1
Ir 0.500 0.500 0.000 x1